Rb2NpTlI6 | PBE | relaxed

Output
energy relative to the elements, uncorrected: -1055 kJ/mol of formula units
space-group type: No. 14
DFT total energy: -3.75 eV per atom

```
20
Lattice="8.539 0.000 0.021 0.000 9.271 0.000 0.105 0.000 12.455" Properties=species:S:1:pos:R:3 pbc="T T T"
Rb 0.329 8.456 3.117
Rb 4.650 5.451 9.355
Rb 8.315 0.816 9.359
Rb 3.993 3.820 3.121
Np 4.322 0.000 6.238
Np 0.000 4.636 0.000
Tl 4.269 0.000 0.011
Tl 0.052 4.636 6.227
I 2.539 6.297 0.742
I 6.861 7.610 6.980
I 6.104 2.975 11.734
I 1.783 1.661 5.496
I 2.888 6.593 5.481
I 7.210 7.314 11.719
I 5.755 2.678 6.995
I 1.434 1.957 0.757
I 7.521 5.008 2.945
I 3.304 8.899 9.162
I 1.122 4.263 9.531
I 5.339 0.373 3.314
```

---

Ce2Pm3HoN6 | PBE | relaxed

Output
energy relative to the elements, uncorrected: -1763 kJ/mol of formula units
space-group type: No. 12
DFT total energy: -8.24 eV per atom

```
12
Lattice="6.174 -0.001 0.001 -3.087 5.347 0.001 -1.029 -1.782 5.829" Properties=species:S:1:pos:R:3 pbc="T T T"
Ce -0.001 3.565 0.001
Ce 3.089 1.780 0.001
Pm -2.064 3.568 2.916
Pm 4.122 -0.004 2.916
Pm 1.029 1.782 2.916
Ho 0.000 0.000 0.000
N 3.090 1.777 4.453
N 2.056 3.560 1.391
N -1.031 1.787 1.379
N -0.005 3.564 4.453
N 0.002 0.003 4.441
N 2.063 0.000 1.379
```

---

Cs2PaCu3Br12 | PBE | relaxed

Output
energy relative to the elements, uncorrected: -1742 kJ/mol of formula units
space-group type: No. 166
DFT total energy: -3.42 eV per atom

```
18
Lattice="11.220 1.197 0.849 6.582 9.166 0.849 6.582 3.831 8.370" Properties=species:S:1:pos:R:3 pbc="T T T"
Cs 14.099 8.207 5.821
Cs 10.286 5.987 4.247
Pa 0.000 0.000 0.000
Cu 5.610 0.599 0.425
Cu 3.291 4.583 0.425
Cu 3.291 1.916 4.185
Br 11.458 6.670 8.133
Br 18.404 10.713 4.337
Br 15.727 12.233 8.677
Br 14.250 5.084 3.606
Br 18.404 7.634 8.677
Br 11.458 9.880 3.606
Br 12.926 7.524 1.935
Br 5.981 3.481 5.731
Br 8.658 1.961 1.391
Br 10.135 9.110 6.462
Br 5.981 6.560 1.391
Br 12.926 4.313 6.462
```

---

Pu3Ga2Pd3 | PBE | relaxed

Output
space-group type: No. 63
DFT total energy: -8.59 eV per atom

```
16
Lattice="-0.063 0.008 -4.386 3.900 -3.850 2.130 -9.952 -10.013 0.123" Properties=species:S:1:pos:R:3 pbc="T T T"
Pu -0.588 -7.160 -2.199
Pu -8.268 -9.452 0.100
Pu 2.153 -4.402 -2.233
Pu -5.527 -6.695 0.066
Pu -1.420 -3.592 -2.180
Pu -4.695 -10.263 0.047
Ga -6.903 -11.271 -2.116
Ga -2.388 -5.779 0.023
Ga -3.727 -8.076 -2.156
Ga 0.788 -2.584 -0.016
Pd -3.714 -5.452 -2.151
Pd -6.541 -12.568 0.069
Pd 0.426 -1.287 -2.202
Pd -2.401 -8.403 0.018
Pd 0.152 -5.128 -0.012
Pd -6.268 -8.727 -2.120
```

---

> Which formula does entry 1 have?

Rb2NpTlI6